DFT (PBE) results for Nd2Zn3SnPt4 after structural relaxation.

total energy = -4.9268 eV per atom
N(E_F) = 5.1 states/eV per cell
crystal system = tetragonal

Structure (POSCAR):
```
Nd2Zn3SnPt4
1.0
4.301 0.000 0.000
0.000 4.301 0.000
0.000 0.000 10.820
Nd Zn Sn Pt
2 3 1 4
Direct
0.500 0.000 0.238
0.000 0.500 0.762
0.000 0.000 0.500
0.500 0.000 0.873
0.000 0.500 0.127
0.500 0.500 0.500
0.500 0.500 0.000
0.000 0.000 0.000
0.500 0.000 0.645
0.000 0.500 0.355
```

---

DFT (PBE) results for Nd2ZrSn3Pt4 after structural relaxation.

total energy = -6.3043 eV per atom
N(E_F) = 6.9 states/eV per cell
crystal system = tetragonal

Structure (POSCAR):
```
Nd2ZrSn3Pt4
1.0
-2.263 -2.592 3.022
3.959 -1.095 2.025
-1.007 8.581 6.607
Nd Zr Sn Pt
2 1 3 4
Direct
0.500 0.000 0.233
0.000 0.500 0.767
0.500 0.500 0.500
0.000 0.000 0.500
0.500 0.000 0.872
0.000 0.500 0.128
0.500 0.500 0.000
0.000 0.000 0.000
0.500 0.000 0.635
0.000 0.500 0.365
```

---

DFT (PBE) results for SrNdPt after structural relaxation.

total energy = -4.8324 eV per atom
excess energy over the best structure of this formula in the dataset = 0 meV/atom
N(E_F) = 2.4 states/eV per cell
crystal system = trigonal

Structure (POSCAR):
```
SrNdPt
1.0
4.291 0.000 0.000
-2.146 3.716 0.000
0.000 0.000 6.934
Sr Nd Pt
1 1 1
Direct
0.000 0.000 0.091
0.333 0.667 0.556
0.667 0.333 0.353
```

---

DFT (PBE) results for Sr2Nd3Pt2 after structural relaxation.

total energy = -4.9052 eV per atom
N(E_F) = 4.5 states/eV per cell
crystal system = monoclinic

Structure (POSCAR):
```
Sr2Nd3Pt2
1.0
3.942 0.000 1.108
1.504 6.409 2.214
-0.353 -0.339 8.825
Sr Nd Pt
2 3 2
Direct
0.166 0.468 0.200
0.834 0.532 0.800
0.500 0.000 0.000
0.377 0.811 0.434
0.623 0.189 0.566
0.161 0.926 0.751
0.839 0.074 0.249
```

---

DFT (PBE) results for SrNd2Pt after structural relaxation.

total energy = -4.7653 eV per atom
excess energy over the best structure of this formula in the dataset = 75 meV/atom
N(E_F) = 5.3 states/eV per cell
crystal system = tetragonal

Structure (POSCAR):
```
SrNd2Pt
1.0
3.695 0.000 0.000
0.000 3.695 0.000
0.000 0.000 9.965
Sr Nd Pt
1 2 1
Direct
0.500 0.500 0.500
0.000 0.000 0.834
0.000 0.000 0.166
0.500 0.500 0.000
```

---

DFT (PBE) results for SrNd2Pt after structural relaxation.

total energy = -4.8404 eV per atom
excess energy over the best structure of this formula in the dataset = 0 meV/atom
N(E_F) = 9.8 states/eV per cell
crystal system = orthorhombic

Structure (POSCAR):
```
SrNd2Pt
1.0
-3.799 0.459 -1.636
1.585 -6.540 -0.223
-3.952 -1.259 8.825
Sr Nd Pt
2 4 2
Direct
0.929 0.859 0.250
0.071 0.141 0.750
0.353 0.706 0.563
0.647 0.294 0.437
0.353 0.706 0.937
0.647 0.294 0.063
0.772 0.545 0.750
0.228 0.455 0.250
```

---

DFT (PBE) results for SrNdPt after structural relaxation.

total energy = -4.7855 eV per atom
excess energy over the best structure of this formula in the dataset = 47 meV/atom
N(E_F) = 3.6 states/eV per cell
crystal system = cubic

Structure (POSCAR):
```
SrNdPt
1.0
-2.531 -4.430 0.123
0.047 -2.849 4.234
-4.228 -0.445 2.823
Sr Nd Pt
1 1 1
Direct
0.000 0.000 0.000
0.500 0.500 0.500
0.250 0.250 0.250
```

---

DFT (PBE) results for SrNdPt after structural relaxation.

total energy = -4.7816 eV per atom
excess energy over the best structure of this formula in the dataset = 51 meV/atom
N(E_F) = 5.6 states/eV per cell
crystal system = orthorhombic

Structure (POSCAR):
```
SrNdPt
1.0
-1.299 -1.348 -3.692
-2.350 -5.653 2.891
-4.142 6.495 1.406
Pt Sr Nd
2 2 2
Direct
0.860 0.360 0.719
0.140 0.640 0.281
0.500 0.737 0.000
0.500 0.263 0.000
0.220 0.220 0.440
0.780 0.780 0.560
```

---

DFT (PBE) results for SrNd2Pt after structural relaxation.

total energy = -4.8301 eV per atom
excess energy over the best structure of this formula in the dataset = 10 meV/atom
N(E_F) = 3.9 states/eV per cell
crystal system = trigonal

Structure (POSCAR):
```
SrNd2Pt
1.0
4.290 0.000 0.000
2.145 3.715 0.000
2.145 1.238 9.624
Sr Nd Pt
1 2 1
Direct
0.501 0.501 0.496
0.051 0.051 0.846
0.281 0.281 0.157
0.666 0.666 0.001
```

---

DFT (PBE) results for SrNdPt4 after structural relaxation.

total energy = -6.0647 eV per atom
N(E_F) = 4.9 states/eV per cell
crystal system = cubic

Structure (POSCAR):
```
SrNdPt4
1.0
-4.977 -2.337 0.702
-1.546 -4.246 -3.210
-0.391 -5.097 2.144
Sr Nd Pt
1 1 4
Direct
0.250 0.250 0.250
0.000 0.000 0.000
0.625 0.625 0.125
0.625 0.125 0.625
0.625 0.625 0.625
0.125 0.625 0.625
```

---

DFT (PBE) results for SrNdPt after structural relaxation.

total energy = -4.8186 eV per atom
excess energy over the best structure of this formula in the dataset = 14 meV/atom
N(E_F) = 5.5 states/eV per cell
crystal system = monoclinic

Structure (POSCAR):
```
SrNdPt
1.0
-0.768 -3.832 -0.077
3.571 -0.587 -6.355
6.868 -1.421 1.942
Sr Nd Pt
2 2 2
Direct
0.124 0.885 0.103
0.623 0.396 0.039
0.624 0.998 0.619
0.624 0.517 0.541
0.124 0.243 0.759
0.124 0.688 0.755
```

---

DFT (PBE) results for SrNd2Pt after structural relaxation.

total energy = -4.8127 eV per atom
excess energy over the best structure of this formula in the dataset = 28 meV/atom
N(E_F) = 5.0 states/eV per cell
crystal system = trigonal

Structure (POSCAR):
```
SrNd2Pt
1.0
-1.504 1.400 3.711
-4.115 -0.451 0.926
0.020 -8.528 5.651
Sr Nd Pt
1 2 1
Direct
0.500 0.500 0.500
0.282 0.282 0.155
0.718 0.718 0.845
0.000 0.000 0.000
```

---

Computed ΔH_f (0 K) (meV per atom) in order:
-774 -879 -669 -655 -451 -526 -622 -618 -516 -963 -655 -498